A plane-wave DFT calculation with PBE was carried out for a relaxed structure of Ba6TlZn.

abc: 8.247 8.247 8.192
angles: 101.21 101.21 119.56
Element x y z (fractional)
Ba  0.061  0.423  0.249
Ba  0.244  0.244  0.757
Ba  0.423  0.061  0.249
Ba  0.577  0.939  0.751
Ba  0.756  0.756  0.243
Ba  0.939  0.577  0.751
Tl  0.500  0.500  0.500
Zn  0.000  0.000  0.000

Summary:
As for the space group: No. 12. For the polymorph energy (0 for the lowest one), the calculation gives 97 meV per atom. Its final energy is -1.95 eV/atom. As for the energy relative to the elements: -0.05 eV/atom. For the density of states at the Fermi level, the calculation gives 1.45 states/eV/atom. For the calculated volume, the calculation gives 447 Å³/cell. The value obtained for the density is 4.1 g/cm³.